! IrPtPb (PBEsol, optimized geometry); values from VASP
&SYSTEM
  ibrav = 0, nat = 3, ntyp = 3
/
ATOMIC_SPECIES
Ir 192.22 Ir.upf
Pt 195.08 Pt.upf
Pb 207.20 Pb.upf
ATOMIC_POSITIONS angstrom
Ir 0.000 0.000 0.000
Pt 0.000 2.562 1.931
Pb 2.219 1.281 0.940
CELL_PARAMETERS angstrom
4.438 0.000 0.000
-2.219 3.843 0.000
0.000 0.000 3.086
! distance to the lowest polymorph of the same formula = 91 meV per atom
! DOS(E_F) = 1.68 states/eV/cell
! formation energy from the elements = 43.94 kJ/mol of atoms

! IrPtPb2 (PBEsol, optimized geometry); values from VASP
&SYSTEM
  ibrav = 0, nat = 8, ntyp = 3
/
ATOMIC_SPECIES
Ir 192.22 Ir.upf
Pt 195.08 Pt.upf
Pb 207.20 Pb.upf
ATOMIC_POSITIONS angstrom
Ir 0.000 0.000 0.000
Ir 2.028 2.028 4.727
Pt 0.000 2.028 7.090
Pt 2.028 0.000 2.363
Pb 0.000 0.000 4.727
Pb 0.000 2.028 2.363
Pb 2.028 0.000 7.090
Pb 2.028 2.028 0.000
CELL_PARAMETERS angstrom
4.057 0.000 0.000
0.000 4.057 0.000
0.000 0.000 9.454
! distance to the lowest polymorph of the same formula = 16 meV per atom
! DOS(E_F) = 4.37 states/eV/cell
! formation energy from the elements = 35.82 kJ/mol of atoms

! IrPt2Pb (PBEsol, optimized geometry); values from VASP
&SYSTEM
  ibrav = 0, nat = 8, ntyp = 3
/
ATOMIC_SPECIES
Ir 192.22 Ir.upf
Pt 195.08 Pt.upf
Pb 207.20 Pb.upf
ATOMIC_POSITIONS angstrom
Ir 0.000 0.000 0.000
Ir 4.548 1.533 0.000
Pt 2.002 1.533 1.102
Pt 1.681 0.000 3.736
Pt 6.550 0.000 1.102
Pt 6.229 1.533 3.736
Pb -0.433 1.533 2.419
Pb 4.115 0.000 2.419
CELL_PARAMETERS angstrom
9.096 0.000 0.000
0.000 3.065 0.000
-0.866 0.000 4.838
! DOS(E_F) = 7.93 states/eV/cell
! formation energy from the elements = 27.40 kJ/mol of atoms

! IrPtPb2 (PBEsol, optimized geometry); values from VASP
&SYSTEM
  ibrav = 0, nat = 4, ntyp = 3
/
ATOMIC_SPECIES
Ir 192.22 Ir.upf
Pt 195.08 Pt.upf
Pb 207.20 Pb.upf
ATOMIC_POSITIONS angstrom
Ir 0.000 0.000 0.000
Pt 2.500 2.500 0.000
Pb 0.000 2.500 1.549
Pb 2.500 0.000 1.549
CELL_PARAMETERS angstrom
5.001 0.000 0.000
0.000 5.001 0.000
0.000 0.000 3.099
! distance to the lowest polymorph of the same formula = 0 meV per atom
! DOS(E_F) = 2.23 states/eV/cell
! formation energy from the elements = 34.27 kJ/mol of atoms

! ReIr2Pb (PBEsol, optimized geometry); values from VASP
&SYSTEM
  ibrav = 0, nat = 4, ntyp = 3
/
ATOMIC_SPECIES
Re 186.21 Re.upf
Ir 192.22 Ir.upf
Pb 207.20 Pb.upf
ATOMIC_POSITIONS angstrom
Re 0.000 0.000 0.000
Ir 0.000 2.006 2.000
Ir 2.006 0.000 2.000
Pb 2.006 2.006 0.000
CELL_PARAMETERS angstrom
4.012 0.000 0.000
0.000 4.012 0.000
0.000 0.000 4.000
! DOS(E_F) = 5.69 states/eV/cell
! formation energy from the elements = 70.51 kJ/mol of atoms

! ReIr2Pb (PBEsol, optimized geometry); values from VASP
&SYSTEM
  ibrav = 0, nat = 8, ntyp = 3
/
ATOMIC_SPECIES
Re 186.21 Re.upf
Ir 192.22 Ir.upf
Pb 207.20 Pb.upf
ATOMIC_POSITIONS angstrom
Re 0.000 0.000 0.000
Re 2.838 3.938 0.000
Ir 1.419 1.969 1.432
Ir 1.419 5.906 1.432
Ir 4.258 1.969 1.432
Ir 4.258 5.906 1.432
Pb 0.000 3.938 0.000
Pb 2.838 0.000 0.000
CELL_PARAMETERS angstrom
5.677 0.000 0.000
0.000 7.875 0.000
0.000 0.000 2.864
! DOS(E_F) = 6.90 states/eV/cell
! formation energy from the elements = 54.15 kJ/mol of atoms

! Re2IrPb (PBEsol, optimized geometry); values from VASP
&SYSTEM
  ibrav = 0, nat = 12, ntyp = 3
/
ATOMIC_SPECIES
Re 186.21 Re.upf
Ir 192.22 Ir.upf
Pb 207.20 Pb.upf
ATOMIC_POSITIONS angstrom
Re 0.000 0.000 6.750
Re 0.000 0.000 21.046
Re 0.000 1.654 11.780
Re 0.000 1.654 25.281
Re 1.432 0.827 2.515
Re 1.432 0.827 16.016
Ir 0.000 0.000 13.898
Ir 0.000 1.654 4.633
Ir 1.432 0.827 23.164
Pb 0.000 0.000 0.000
Pb 0.000 1.654 18.531
Pb 1.432 0.827 9.265
CELL_PARAMETERS angstrom
2.865 0.000 0.000
-1.432 2.481 0.000
0.000 0.000 27.796
! DOS(E_F) = 8.15 states/eV/cell
! formation energy from the elements = 67.60 kJ/mol of atoms

! ReIrPb2 (PBEsol, optimized geometry); values from VASP
&SYSTEM
  ibrav = 0, nat = 4, ntyp = 3
/
ATOMIC_SPECIES
Re 186.21 Re.upf
Ir 192.22 Ir.upf
Pb 207.20 Pb.upf
ATOMIC_POSITIONS angstrom
Re 0.000 0.000 0.000
Ir 1.639 0.000 2.655
Pb 0.000 2.216 2.655
Pb 1.639 2.216 0.000
CELL_PARAMETERS angstrom
3.277 0.000 0.000
0.000 4.432 0.000
0.000 0.000 5.309
! DOS(E_F) = 3.27 states/eV/cell
! formation energy from the elements = 102.88 kJ/mol of atoms

! ReIr2Pb (PBEsol, optimized geometry); values from VASP
&SYSTEM
  ibrav = 0, nat = 12, ntyp = 3
/
ATOMIC_SPECIES
Re 186.21 Re.upf
Ir 192.22 Ir.upf
Pb 207.20 Pb.upf
ATOMIC_POSITIONS angstrom
Re 0.000 0.000 0.000
Re 0.000 1.652 18.662
Re 1.430 0.826 9.331
Ir 0.000 0.000 7.230
Ir 0.000 0.000 20.763
Ir 0.000 1.652 11.432
Ir 0.000 1.652 25.892
Ir 1.430 0.826 2.101
Ir 1.430 0.826 16.561
Pb 0.000 0.000 13.996
Pb 0.000 1.652 4.665
Pb 1.430 0.826 23.327
CELL_PARAMETERS angstrom
2.861 0.000 0.000
-1.430 2.477 0.000
0.000 0.000 27.993
! DOS(E_F) = 8.82 states/eV/cell
! formation energy from the elements = 40.95 kJ/mol of atoms

! Re2IrPb (PBEsol, optimized geometry); values from VASP
&SYSTEM
  ibrav = 0, nat = 4, ntyp = 3
/
ATOMIC_SPECIES
Re 186.21 Re.upf
Ir 192.22 Ir.upf
Pb 207.20 Pb.upf
ATOMIC_POSITIONS angstrom
Re 0.000 0.000 1.827
Re 0.000 0.000 6.228
Ir 1.424 1.424 0.000
Pb 1.424 1.424 4.028
CELL_PARAMETERS angstrom
2.848 0.000 0.000
0.000 2.848 0.000
0.000 0.000 8.055
! DOS(E_F) = 3.96 states/eV/cell
! formation energy from the elements = 75.18 kJ/mol of atoms

! Ir2RhPb (PBEsol, optimized geometry); values from VASP
&SYSTEM
  ibrav = 0, nat = 4, ntyp = 3
/
ATOMIC_SPECIES
Ir 192.22 Ir.upf
Rh 102.91 Rh.upf
Pb 207.20 Pb.upf
ATOMIC_POSITIONS angstrom
Ir 0.000 0.000 0.000
Ir 1.432 2.254 0.576
Rh 0.000 2.254 3.241
Pb 1.432 0.000 2.442
CELL_PARAMETERS angstrom
2.864 0.000 0.000
0.000 4.507 0.000
0.000 0.000 4.940
! DOS(E_F) = 3.84 states/eV/cell
! formation energy from the elements = 34.21 kJ/mol of atoms

! Ir2RhPb (PBEsol, optimized geometry); values from VASP
&SYSTEM
  ibrav = 0, nat = 4, ntyp = 3
/
ATOMIC_SPECIES
Ir 192.22 Ir.upf
Rh 102.91 Rh.upf
Pb 207.20 Pb.upf
ATOMIC_POSITIONS angstrom
Ir 0.000 0.000 1.667
Ir 0.000 0.000 6.065
Rh 1.456 1.456 0.000
Pb 1.456 1.456 3.866
CELL_PARAMETERS angstrom
2.913 0.000 0.000
0.000 2.913 0.000
0.000 0.000 7.733
! DOS(E_F) = 3.01 states/eV/cell
! formation energy from the elements = 46.36 kJ/mol of atoms

! IrRhPb (PBEsol, optimized geometry); values from VASP
&SYSTEM
  ibrav = 0, nat = 12, ntyp = 3
/
ATOMIC_SPECIES
Ir 192.22 Ir.upf
Rh 102.91 Rh.upf
Pb 207.20 Pb.upf
ATOMIC_POSITIONS angstrom
Ir 0.000 0.000 0.000
Ir 0.000 3.082 3.082
Ir 3.082 0.000 3.082
Ir 3.082 3.082 0.000
Rh 1.541 1.541 4.623
Rh 1.541 4.623 1.541
Rh 4.623 1.541 1.541
Rh 4.623 4.623 4.623
Pb 1.541 1.541 1.541
Pb 1.541 4.623 4.623
Pb 4.623 1.541 4.623
Pb 4.623 4.623 1.541
CELL_PARAMETERS angstrom
6.165 0.000 0.000
0.000 6.165 0.000
0.000 0.000 6.165
! distance to the lowest polymorph of the same formula = 0 meV per atom
! DOS(E_F) = 19.78 states/eV/cell
! formation energy from the elements = 46.27 kJ/mol of atoms

! Ir2RuPb (PBEsol, optimized geometry); values from VASP
&SYSTEM
  ibrav = 0, nat = 4, ntyp = 3
/
ATOMIC_SPECIES
Ir 192.22 Ir.upf
Ru 101.07 Ru.upf
Pb 207.20 Pb.upf
ATOMIC_POSITIONS angstrom
Ir 0.000 0.000 0.000
Ir 0.000 2.241 1.537
Ru 1.426 2.241 4.327
Pb 1.426 0.000 2.569
CELL_PARAMETERS angstrom
2.852 0.000 0.000
0.000 4.482 0.000
0.000 0.000 5.013
! DOS(E_F) = 3.58 states/eV/cell
! formation energy from the elements = 48.53 kJ/mol of atoms

! Ir2RuPb (PBEsol, optimized geometry); values from VASP
&SYSTEM
  ibrav = 0, nat = 4, ntyp = 3
/
ATOMIC_SPECIES
Ir 192.22 Ir.upf
Ru 101.07 Ru.upf
Pb 207.20 Pb.upf
ATOMIC_POSITIONS angstrom
Ir 0.668 0.000 1.238
Ir 2.189 0.000 3.468
Ru -0.014 2.382 2.353
Pb 1.442 2.382 0.000
CELL_PARAMETERS angstrom
2.885 0.000 0.000
0.000 4.763 0.000
-0.028 0.000 4.706
! DOS(E_F) = 4.17 states/eV/cell
! formation energy from the elements = 60.68 kJ/mol of atoms

The calculation returns the following electronic total energy values, one per record and in order: -6.47, -5.82, -6.65, -5.84, -8.51, -8.68, -9.42, -6.72, -8.82, -9.34, -7.59, -7.47, -6.84, -7.95, -7.83 eV per atom.